Material: HgPbF6
Method: DFT, PBE
State: optimized geometry

- energy relative to the elements, uncorrected (meV per atom) = -1728.9
- uncorrected energy (eV/atom) = -3.63
- total magnetic moment (μB per formula unit) = 0.00

Cell lengths 9.222, 6.360, 5.521 Å; angles 90.00, 116.60, 90.00 degrees
Space group C2/m (No. 12)
Unique sites:
Hg (0.000, 0.000, 0.000) x2
Pb (0.000, 0.500, 0.500) x2
F (0.080, 0.261, 0.323) x8
F (0.221, 0.500, 0.861) x4